(1)
KSiRh2 | PBE-GGA | relaxed

Cell lengths 4.346, 3.000, 6.698 Å; angles 77.15, 90.00, 90.00 degrees
Element x y z (fractional)
K 0.500 0.696 0.735
Rh 0.000 0.995 0.133
Rh 0.500 0.449 0.226
Si 0.000 0.360 0.405

Summary:
- DOS at the Fermi energy: 0.939 states/eV per atom
- Magnetization: 0.00 μB per formula unit
- Formation energy from raw total energies: 30 meV/atom
- Crystal system: monoclinic

=====

(2)
KSiRh2 | PBE-GGA | relaxed

Cell lengths 5.061, 5.061, 8.472 Å; angles 72.62, 72.62, 90.00 degrees
Element x y z (fractional)
K 0.000 0.000 0.000
K 0.750 0.250 0.500
Rh 0.445 0.125 0.250
Rh 0.305 0.625 0.250
Rh 0.375 0.555 0.750
Rh 0.875 0.695 0.750
Si 0.500 0.500 0.000
Si 0.250 0.750 0.500

Summary:
- DOS at the Fermi energy: 0.465 states/eV per atom
- Magnetization: 0.00 μB per formula unit
- Formation energy from raw total energies: 234 meV/atom
- Crystal system: tetragonal

=====

(3)
KSiRh2 | PBE-GGA | relaxed

Cell lengths 2.946, 5.257, 4.385 Å; angles 90.00, 90.00, 90.00 degrees
Element x y z (fractional)
K 0.000 0.500 0.500
Rh 0.000 0.000 0.000
Rh 0.500 0.500 0.000
Si 0.500 0.000 0.500

Summary:
- DOS at the Fermi energy: 1.230 states/eV per atom
- Magnetization: 0.00 μB per formula unit
- Formation energy from raw total energies: 657 meV/atom
- Crystal system: orthorhombic

=====

(4)
KSi2Rh | PBE-GGA | relaxed

Cell lengths 5.634, 5.634, 8.046 Å; angles 69.50, 69.50, 90.00 degrees
Element x y z (fractional)
K 0.500 0.500 0.000
K 0.250 0.750 0.500
Rh 0.000 0.000 0.000
Rh 0.750 0.250 0.500
Si 0.875 0.125 0.250
Si 0.875 0.625 0.250
Si 0.375 0.125 0.750
Si 0.875 0.125 0.750

Summary:
- Distance to the lowest polymorph of the same formula: 0.26 eV/f.u.
- DOS at the Fermi energy: 0.067 states/eV per atom
- Magnetization: 0.00 μB per formula unit
- Formation energy from raw total energies: -142 meV/atom
- Crystal system: tetragonal

=====

(5)
KSiRh2 | PBE-GGA | relaxed

Cell lengths 4.597, 4.597, 4.597 Å; angles 60.00, 60.00, 60.00 degrees
Element x y z (fractional)
K 0.500 0.500 0.500
Rh 0.000 0.000 0.000
Rh 0.250 0.250 0.250
Si 0.750 0.750 0.750

Summary:
- DOS at the Fermi energy: 1.060 states/eV per atom
- Magnetization: 0.00 μB per formula unit
- Formation energy from raw total energies: 694 meV/atom
- Crystal system: cubic

=====

(6)
KSiRh2 | PBE-GGA | relaxed

Cell lengths 3.840, 3.840, 7.213 Å; angles 74.57, 74.57, 59.98 degrees
Element x y z (fractional)
K 0.250 0.250 0.250
Rh 0.042 0.042 0.874
Rh 0.458 0.458 0.626
Si 0.750 0.750 0.750

Summary:
- DOS at the Fermi energy: 1.299 states/eV per atom
- Magnetization: 0.02 μB per formula unit
- Formation energy from raw total energies: -203 meV/atom
- Crystal system: trigonal

=====

(7)
KSi2Rh | PBE-GGA | relaxed

Cell lengths 4.280, 4.280, 7.801 Å; angles 65.31, 65.31, 40.76 degrees
Element x y z (fractional)
K 0.454 0.454 0.504
Rh 0.683 0.683 0.997
Si 0.029 0.029 0.856
Si 0.335 0.335 0.143

Summary:
- Distance to the lowest polymorph of the same formula: 0.03 eV/f.u.
- DOS at the Fermi energy: 0.533 states/eV per atom
- Magnetization: 0.00 μB per formula unit
- Formation energy from raw total energies: -201 meV/atom
- Crystal system: monoclinic

=====

(8)
KSi2Rh | PBE-GGA | relaxed

Cell lengths 4.024, 4.050, 4.433 Å; angles 90.00, 90.00, 90.00 degrees
Element x y z (fractional)
K 0.500 0.000 0.500
Rh 0.000 0.500 0.500
Si 0.000 0.000 0.000
Si 0.500 0.500 0.000

Summary:
- Distance to the lowest polymorph of the same formula: 3.61 eV/f.u.
- DOS at the Fermi energy: 0.583 states/eV per atom
- Magnetization: 0.00 μB per formula unit
- Formation energy from raw total energies: 694 meV/atom
- Crystal system: orthorhombic

=====

(9)
KSiRh2 | PBE-GGA | relaxed

Cell lengths 5.633, 5.633, 5.633 Å; angles 149.74, 120.43, 68.27 degrees
Element x y z (fractional)
K 0.250 0.750 0.500
Rh 0.939 0.939 0.000
Rh 0.561 0.561 0.000
Si 0.750 0.250 0.500

Summary:
- DOS at the Fermi energy: 0.596 states/eV per atom
- Magnetization: 0.00 μB per formula unit
- Formation energy from raw total energies: 72 meV/atom
- Crystal system: orthorhombic

=====

(10)
KSi2Rh | PBE-GGA | relaxed

Cell lengths 9.537, 9.537, 9.537 Å; angles 18.16, 18.16, 18.16 degrees
Element x y z (fractional)
K 0.250 0.250 0.250
Rh 0.750 0.750 0.750
Si 0.018 0.018 0.018
Si 0.482 0.482 0.482

Summary:
- Distance to the lowest polymorph of the same formula: 1.21 eV/f.u.
- DOS at the Fermi energy: 0.925 states/eV per atom
- Magnetization: 0.00 μB per formula unit
- Formation energy from raw total energies: 94 meV/atom
- Crystal system: trigonal

=====

(11)
KSiRh2 | PBE-GGA | relaxed

Cell lengths 8.523, 8.523, 8.523 Å; angles 159.00, 159.65, 29.41 degrees
Element x y z (fractional)
K 0.310 0.810 0.500
Rh 0.986 0.986 0.000
Rh 0.654 0.154 0.500
Si 0.550 0.550 0.000

Summary:
- DOS at the Fermi energy: 0.627 states/eV per atom
- Magnetization: 0.00 μB per formula unit
- Formation energy from raw total energies: -102 meV/atom
- Crystal system: orthorhombic

=====

(12)
KSi2Rh | PBE-GGA | relaxed

Cell lengths 5.326, 5.326, 2.787 Å; angles 90.13, 90.13, 116.15 degrees
Element x y z (fractional)
K 0.500 0.000 0.500
Rh 0.000 0.500 0.500
Si 0.000 0.000 0.000
Si 0.500 0.500 0.000

Summary:
- Distance to the lowest polymorph of the same formula: 3.37 eV/f.u.
- DOS at the Fermi energy: 0.862 states/eV per atom
- Magnetization: 0.00 μB per formula unit
- Formation energy from raw total energies: 635 meV/atom
- Crystal system: monoclinic

=====

(13)
KSi2Rh | PBE-GGA | relaxed

Cell lengths 5.458, 5.458, 5.458 Å; angles 136.21, 108.56, 87.70 degrees
Element x y z (fractional)
K 0.750 0.250 0.500
Rh 0.250 0.750 0.500
Si 0.099 0.099 0.000
Si 0.401 0.401 0.000

Summary:
- Distance to the lowest polymorph of the same formula: 1.60 eV/f.u.
- DOS at the Fermi energy: 0.677 states/eV per atom
- Magnetization: 0.00 μB per formula unit
- Formation energy from raw total energies: 192 meV/atom
- Crystal system: orthorhombic

=====

(14)
KSiRh2 | PBE-GGA | relaxed

Cell lengths 5.245, 5.245, 5.245 Å; angles 136.50, 136.50, 63.21 degrees
Element x y z (fractional)
K 0.750 0.250 0.500
Rh 0.000 0.000 0.000
Rh 0.250 0.750 0.500
Si 0.500 0.500 0.000

Summary:
- DOS at the Fermi energy: 1.384 states/eV per atom
- Magnetization: 0.00 μB per formula unit
- Formation energy from raw total energies: 654 meV/atom
- Crystal system: tetragonal

=====

(15)
KSi2Rh | PBE-GGA | relaxed

Cell lengths 4.281, 4.281, 7.012 Å; angles 83.14, 83.14, 40.60 degrees
Element x y z (fractional)
K 0.250 0.250 0.250
Rh 0.750 0.750 0.750
Si 0.019 0.019 0.895
Si 0.481 0.481 0.605

Summary:
- Distance to the lowest polymorph of the same formula: 0.00 eV/f.u.
- DOS at the Fermi energy: 0.600 states/eV per atom
- Magnetization: 0.00 μB per formula unit
- Formation energy from raw total energies: -208 meV/atom
- Crystal system: monoclinic

=====

(16)
KSi2Rh | PBE-GGA | relaxed

Cell lengths 4.647, 4.647, 4.647 Å; angles 120.03, 120.03, 89.95 degrees
Element x y z (fractional)
K 0.500 0.500 0.000
Rh 0.750 0.250 0.500
Si 0.000 0.000 0.000
Si 0.250 0.750 0.500

Summary:
- Distance to the lowest polymorph of the same formula: 3.50 eV/f.u.
- DOS at the Fermi energy: 0.407 states/eV per atom
- Magnetization: 0.00 μB per formula unit
- Formation energy from raw total energies: 669 meV/atom
- Crystal system: cubic

=====

(17)
KSiRh2 | PBE-GGA | relaxed

Cell lengths 2.928, 2.928, 8.180 Å; angles 90.00, 90.00, 90.04 degrees
Element x y z (fractional)
K 0.500 0.500 0.750
Rh 0.000 0.000 0.078
Rh 0.000 0.000 0.422
Si 0.500 0.500 0.250

Summary:
- DOS at the Fermi energy: 0.573 states/eV per atom
- Magnetization: 0.00 μB per formula unit
- Formation energy from raw total energies: -178 meV/atom
- Crystal system: tetragonal

=====

(18)
KSiRh2 | PBE-GGA | relaxed

Cell lengths 2.830, 3.799, 7.301 Å; angles 90.00, 90.00, 90.00 degrees
Element x y z (fractional)
K 0.500 0.500 0.749
Rh 0.000 0.000 0.072
Rh 0.500 0.500 0.294
Si 0.000 0.000 0.385

Summary:
- DOS at the Fermi energy: 1.076 states/eV per atom
- Magnetization: 0.00 μB per formula unit
- Formation energy from raw total energies: 48 meV/atom
- Crystal system: orthorhombic

=====

(19)
KSi2Rh | PBE-GGA | relaxed

Cell lengths 4.573, 4.573, 4.573 Å; angles 60.00, 60.00, 60.00 degrees
Element x y z (fractional)
K 0.000 0.000 0.000
Rh 0.500 0.500 0.500
Si 0.250 0.250 0.250
Si 0.750 0.750 0.750

Summary:
- Distance to the lowest polymorph of the same formula: 2.52 eV/f.u.
- DOS at the Fermi energy: 0.384 states/eV per atom
- Magnetization: 0.00 μB per formula unit
- Formation energy from raw total energies: 422 meV/atom
- Crystal system: cubic

=====

(20)
KSiRh2 | PBE-GGA | relaxed

Cell lengths 5.518, 5.271, 2.818 Å; angles 76.24, 86.78, 120.56 degrees
Element x y z (fractional)
K 0.500 0.500 0.000
Rh 0.000 0.000 0.000
Rh 0.500 0.000 0.500
Si 0.000 0.500 0.500

Summary:
- DOS at the Fermi energy: 0.913 states/eV per atom
- Magnetization: 0.00 μB per formula unit
- Formation energy from raw total energies: 560 meV/atom
- Crystal system: monoclinic